No. 1
# Pr5Sm5Ge6 PBE relaxed
data_Pr5Sm5Ge6
_chemical_formula_sum 'Pr5 Sm5 Ge6'
_space_group_name_H-M_alt 'P 1'
_space_group_IT_number 1
_space_group_name_Hall 'P 1'
_cell_length_a 6.676
_cell_length_b 8.821
_cell_length_c 8.821
_cell_angle_alpha 119.83
_cell_angle_beta 90.00
_cell_angle_gamma 90.00
loop_
_atom_site_label
_atom_site_type_symbol
_atom_site_fract_x
_atom_site_fract_y
_atom_site_fract_z
_atom_site_occupancy
Pr1 Pr 0.000 0.753 0.999 1
Pr2 Pr 0.000 0.999 0.753 1
Pr3 Pr 0.500 0.752 0.752 1
Pr4 Pr 0.500 0.246 0.001 1
Pr5 Pr 0.500 0.001 0.246 1
Sm1 Sm 0.750 0.333 0.667 1
Sm2 Sm 0.750 0.667 0.333 1
Sm3 Sm 0.250 0.667 0.333 1
Sm4 Sm 0.250 0.333 0.667 1
Sm5 Sm 0.000 0.249 0.249 1
Ge1 Ge 0.000 0.603 0.603 1
Ge2 Ge 0.000 0.393 0.003 1
Ge3 Ge 0.000 0.003 0.393 1
Ge4 Ge 0.500 0.395 0.395 1
Ge5 Ge 0.500 0.605 0.000 1
Ge6 Ge 0.500 0.000 0.605 1
# - DFT formation energy: -69.19 kJ per mole of atoms
# - SG: Amm2
# - VASP energy: -5.417 eV/atom



No. 2
# BiRh2I PBE relaxed
data_BiRh2I
_chemical_formula_sum 'Bi2 Rh4 I2'
_space_group_name_H-M_alt 'P 1'
_space_group_IT_number 1
_space_group_name_Hall 'P 1'
_cell_length_a 5.225
_cell_length_b 5.225
_cell_length_c 8.348
_cell_angle_alpha 71.76
_cell_angle_beta 71.76
_cell_angle_gamma 90.00
loop_
_atom_site_label
_atom_site_type_symbol
_atom_site_fract_x
_atom_site_fract_y
_atom_site_fract_z
_atom_site_occupancy
I1 I 0.500 0.500 0.000 1
I2 I 0.250 0.750 0.500 1
Rh1 Rh 0.603 0.125 0.250 1
Rh2 Rh 0.147 0.625 0.250 1
Rh3 Rh 0.375 0.397 0.750 1
Rh4 Rh 0.875 0.853 0.750 1
Bi1 Bi 0.000 0.000 0.000 1
Bi2 Bi 0.750 0.250 0.500 1
# - Energy relative to the lowest polymorph listed for this composition: 0 meV per atom
# - SG: I-42d
# - VASP energy: -4.719 eV/atom
# - E_form (uncorrected): 121 kJ/mol of formula units



No. 3
# Na2Ti2O5 PBE relaxed
data_Na2Ti2O5
_chemical_formula_sum 'Na8 Ti8 O20'
_space_group_name_H-M_alt 'P 1'
_space_group_IT_number 1
_space_group_name_Hall 'P 1'
_cell_length_a 5.348
_cell_length_b 9.068
_cell_length_c 10.401
_cell_angle_alpha 90.00
_cell_angle_beta 90.00
_cell_angle_gamma 90.00
loop_
_atom_site_label
_atom_site_type_symbol
_atom_site_fract_x
_atom_site_fract_y
_atom_site_fract_z
_atom_site_occupancy
Na1 Na 0.988 0.000 0.486 1
Na2 Na 0.988 0.500 0.014 1
Na3 Na 0.956 0.739 0.762 1
Na4 Na 0.956 0.239 0.738 1
Na5 Na 0.044 0.239 0.238 1
Na6 Na 0.044 0.739 0.262 1
Na7 Na 0.012 0.500 0.514 1
Na8 Na 0.012 0.000 0.986 1
Ti1 Ti 0.569 0.959 0.227 1
Ti2 Ti 0.569 0.459 0.273 1
Ti3 Ti 0.524 0.749 0.477 1
Ti4 Ti 0.524 0.249 0.023 1
Ti5 Ti 0.476 0.749 0.977 1
Ti6 Ti 0.476 0.249 0.523 1
Ti7 Ti 0.431 0.959 0.727 1
Ti8 Ti 0.431 0.459 0.773 1
O1 O 0.882 0.000 0.254 1
O2 O 0.882 0.500 0.246 1
O3 O 0.850 0.747 0.481 1
O4 O 0.850 0.247 0.019 1
O5 O 0.587 0.775 0.145 1
O6 O 0.587 0.275 0.355 1
O7 O 0.601 0.586 0.887 1
O8 O 0.601 0.086 0.613 1
O9 O 0.595 0.910 0.881 1
O10 O 0.595 0.410 0.619 1
O11 O 0.405 0.910 0.381 1
O12 O 0.405 0.410 0.119 1
O13 O 0.399 0.086 0.113 1
O14 O 0.399 0.586 0.387 1
O15 O 0.413 0.275 0.855 1
O16 O 0.413 0.775 0.645 1
O17 O 0.150 0.247 0.519 1
O18 O 0.150 0.747 0.981 1
O19 O 0.118 0.500 0.746 1
O20 O 0.118 0.000 0.754 1
# - SG: Pca2_1
# - VASP energy: -7.409 eV/atom
# - E_form (uncorrected): -2264 kJ/mol of formula units



No. 4
# ScPaBi2O8 PBE relaxed
data_ScPaBi2O8
_chemical_formula_sum 'Sc1 Pa1 Bi2 O8'
_space_group_name_H-M_alt 'P 1'
_space_group_IT_number 1
_space_group_name_Hall 'P 1'
_cell_length_a 5.097
_cell_length_b 5.098
_cell_length_c 6.945
_cell_angle_alpha 90.00
_cell_angle_beta 90.00
_cell_angle_gamma 89.79
loop_
_atom_site_label
_atom_site_type_symbol
_atom_site_fract_x
_atom_site_fract_y
_atom_site_fract_z
_atom_site_occupancy
Sc1 Sc 0.000 0.000 0.000 1
Pa1 Pa 0.000 0.000 0.500 1
Bi1 Bi 0.500 0.500 0.760 1
Bi2 Bi 0.500 0.500 0.240 1
O1 O 0.182 0.817 0.250 1
O2 O 0.703 0.705 0.000 1
O3 O 0.818 0.183 0.250 1
O4 O 0.818 0.183 0.750 1
O5 O 0.297 0.295 0.000 1
O6 O 0.182 0.817 0.750 1
O7 O 0.692 0.693 0.500 1
O8 O 0.308 0.307 0.500 1
# - SG: Cmmm
# - VASP energy: -7.529 eV/atom
# - E_form (uncorrected): -2614 kJ/mol of formula units



No. 5
# LiPmSi PBE relaxed
data_LiPmSi
_chemical_formula_sum 'Li2 Pm2 Si2'
_space_group_name_H-M_alt 'P 1'
_space_group_IT_number 1
_space_group_name_Hall 'P 1'
_cell_length_a 4.295
_cell_length_b 4.295
_cell_length_c 6.878
_cell_angle_alpha 90.00
_cell_angle_beta 90.00
_cell_angle_gamma 90.00
loop_
_atom_site_label
_atom_site_type_symbol
_atom_site_fract_x
_atom_site_fract_y
_atom_site_fract_z
_atom_site_occupancy
Li1 Li 0.500 0.500 0.500 1
Li2 Li 0.000 0.000 0.500 1
Pm1 Pm 0.000 0.500 0.822 1
Pm2 Pm 0.500 0.000 0.178 1
Si1 Si 0.000 0.500 0.266 1
Si2 Si 0.500 0.000 0.734 1
# - Energy relative to the lowest polymorph listed for this composition: 10 meV per atom
# - SG: P4/nmm
# - VASP energy: -4.564 eV/atom
# - E_form (uncorrected): -155 kJ/mol of formula units



No. 6
# AcCo2B PBE relaxed
data_AcCo2B
_chemical_formula_sum 'Ac4 Co8 B4'
_space_group_name_H-M_alt 'P 1'
_space_group_IT_number 1
_space_group_name_Hall 'P 1'
_cell_length_a 3.714
_cell_length_b 8.095
_cell_length_c 8.838
_cell_angle_alpha 90.00
_cell_angle_beta 90.00
_cell_angle_gamma 103.26
loop_
_atom_site_label
_atom_site_type_symbol
_atom_site_fract_x
_atom_site_fract_y
_atom_site_fract_z
_atom_site_occupancy
Ac1 Ac 0.500 0.000 0.500 1
Ac2 Ac 0.500 0.000 0.000 1
Ac3 Ac 0.668 0.337 0.250 1
Ac4 Ac 0.332 0.663 0.750 1
Co1 Co 0.138 0.277 0.750 1
Co2 Co 0.012 0.024 0.250 1
Co3 Co 0.862 0.723 0.250 1
Co4 Co 0.988 0.976 0.750 1
Co5 Co 0.288 0.576 0.416 1
Co6 Co 0.712 0.424 0.584 1
Co7 Co 0.712 0.424 0.916 1
Co8 Co 0.288 0.576 0.084 1
B1 B 0.823 0.645 0.463 1
B2 B 0.177 0.355 0.963 1
B3 B 0.823 0.645 0.037 1
B4 B 0.177 0.355 0.537 1
# - DFT formation energy: -2.48 kJ per mole of atoms
# - SG: Cmcm
# - VASP energy: -6.275 eV/atom



No. 7
# NdHoInAu PBE relaxed
data_NdHoInAu
_chemical_formula_sum 'Nd1 Ho1 In1 Au1'
_space_group_name_H-M_alt 'P 1'
_space_group_IT_number 1
_space_group_name_Hall 'P 1'
_cell_length_a 5.302
_cell_length_b 5.302
_cell_length_c 5.302
_cell_angle_alpha 60.00
_cell_angle_beta 60.00
_cell_angle_gamma 60.00
loop_
_atom_site_label
_atom_site_type_symbol
_atom_site_fract_x
_atom_site_fract_y
_atom_site_fract_z
_atom_site_occupancy
Nd1 Nd 0.250 0.250 0.250 1
Au1 Au 0.000 0.000 0.000 1
Ho1 Ho 0.750 0.750 0.750 1
In1 In 0.500 0.500 0.500 1
# - DFT formation energy: -55.85 kJ per mole of atoms
# - SG: F-43m
# - VASP energy: -4.419 eV/atom



No. 8
# Ta2TlHg PBE relaxed
data_Ta2TlHg
_chemical_formula_sum 'Ta2 Tl1 Hg1'
_space_group_name_H-M_alt 'P 1'
_space_group_IT_number 1
_space_group_name_Hall 'P 1'
_cell_length_a 4.527
_cell_length_b 2.952
_cell_length_c 6.458
_cell_angle_alpha 65.97
_cell_angle_beta 90.00
_cell_angle_gamma 90.00
loop_
_atom_site_label
_atom_site_type_symbol
_atom_site_fract_x
_atom_site_fract_y
_atom_site_fract_z
_atom_site_occupancy
Hg1 Hg 0.500 0.750 0.750 1
Ta1 Ta 0.000 0.006 0.996 1
Ta2 Ta 0.000 0.494 0.504 1
Tl1 Tl 0.500 0.250 0.250 1
# - DFT formation energy: 47.92 kJ per mole of atoms
# - SG: P2/m
# - VASP energy: -6.097 eV/atom



> Among the records above, which one has the lowest VASP energy?

ScPaBi2O8



> Look up the VASP energy of the fourth one.

-7.529 eV/atom